# YBeP2 PBE optimized geometry
# **Mass density**: 4.049 g/cm3
# **Formation energy from the elements**: -0.465 eV per atom
# **Magnetization**: 0.00 μB/atom
data_YBeP2
_symmetry_space_group_name_H-M 'C 1 2/m 1'
_symmetry_Int_Tables_number 12
_symmetry_space_group_name_Hall '-C 2y'
_cell_length_a 7.0742
_cell_length_b 4.0330
_cell_length_c 5.1156
_cell_angle_alpha 90.00
_cell_angle_beta 116.04
_cell_angle_gamma 90.00
loop_
_atom_site_label
_atom_site_type_symbol
_atom_site_fract_x
_atom_site_fract_y
_atom_site_fract_z
Y1 Y 0.0000 0.0000 0.0000
Be1 Be 0.0000 0.5000 0.5000
P1 P 0.2148 0.0000 0.6349

# SrGdCdPb PBE optimized geometry
# **Mass density**: 7.593 g/cm3
# **Formation energy from the elements**: -0.395 eV per atom
# **Magnetization**: 1.84 μB/atom
data_SrGdCdPb
_symmetry_space_group_name_H-M 'F -4 3 m'
_symmetry_Int_Tables_number 216
_symmetry_space_group_name_Hall 'F -4 2 3'
_cell_length_a 7.9040
_cell_length_b 7.9040
_cell_length_c 7.9040
_cell_angle_alpha 90.00
_cell_angle_beta 90.00
_cell_angle_gamma 90.00
loop_
_atom_site_label
_atom_site_type_symbol
_atom_site_fract_x
_atom_site_fract_y
_atom_site_fract_z
Sr1 Sr 0.0000 0.0000 0.0000
Gd1 Gd 0.0000 0.0000 0.5000
Cd1 Cd 0.2500 0.2500 0.2500
Pb1 Pb 0.2500 0.2500 0.7500

# Tb5Pm2Dy3 PBE optimized geometry
# **Relative energy among the computed polymorphs**: 0.0 meV per atom
# **Mass density**: 7.874 g/cm3
# **Formation energy from the elements**: 0.196 eV per atom
# **Magnetization**: 0.00 μB/atom
data_Tb5Pm2Dy3
_symmetry_space_group_name_H-M 'C 1 2/c 1'
_symmetry_Int_Tables_number 15
_symmetry_space_group_name_Hall '-C 2yc'
_cell_length_a 10.6409
_cell_length_b 15.9660
_cell_length_c 9.4246
_cell_angle_alpha 90.00
_cell_angle_beta 124.08
_cell_angle_gamma 90.00
loop_
_atom_site_label
_atom_site_type_symbol
_atom_site_fract_x
_atom_site_fract_y
_atom_site_fract_z
Tb1 Tb 0.0000 0.0212 0.2500
Tb2 Tb 0.0000 0.2311 0.2500
Tb3 Tb 0.0000 0.4717 0.7500
Tb4 Tb 0.2287 0.3787 0.2118
Pm1 Pm 0.1393 0.1280 0.0462
Dy1 Dy 0.0000 0.2756 0.7500
Dy2 Dy 0.1590 0.3787 0.5480

# Tl3P PBE optimized geometry
# **Mass density**: 9.753 g/cm3
# **Formation energy from the elements**: 0.244 eV per atom
# **Magnetization**: 0.00 μB/atom
data_Tl3P
_symmetry_space_group_name_H-M 'I 4/m m m'
_symmetry_Int_Tables_number 139
_symmetry_space_group_name_Hall '-I 4 2'
_cell_length_a 4.9280
_cell_length_b 4.9280
_cell_length_c 9.0314
_cell_angle_alpha 90.00
_cell_angle_beta 90.00
_cell_angle_gamma 90.00
loop_
_atom_site_label
_atom_site_type_symbol
_atom_site_fract_x
_atom_site_fract_y
_atom_site_fract_z
Tl1 Tl 0.0000 0.0000 0.0000
Tl2 Tl 0.0000 0.5000 0.2500
P1 P 0.0000 0.0000 0.5000

# Rb3Hf3NiS8 PBE optimized geometry
# **Mass density**: 4.939 g/cm3
# **ΔE_f (raw)**: -1.2984 eV/atom
# **Magnetization**: 0.11 μB/atom
data_Rb3Hf3NiS8
_symmetry_space_group_name_H-M 'R -3 m'
_symmetry_Int_Tables_number 166
_symmetry_space_group_name_Hall '-R 3 2"'
_cell_length_a 7.4243
_cell_length_b 7.4243
_cell_length_c 23.3846
_cell_angle_alpha 90.00
_cell_angle_beta 90.00
_cell_angle_gamma 120.00
loop_
_atom_site_label
_atom_site_type_symbol
_atom_site_fract_x
_atom_site_fract_y
_atom_site_fract_z
Rb1 Rb 0.0000 0.5000 0.0000
Hf1 Hf 0.0000 0.5000 0.5000
Ni1 Ni 0.0000 0.0000 0.5000
S1 S 0.0000 0.0000 0.2292
S2 S 0.0013 0.5006 0.2258

# Na2Ta2VS6 PBE optimized geometry
# **Mass density**: 4.931 g/cm3
# **ΔE_f (raw)**: -1.0806 eV/atom
# **Magnetization**: 0.19 μB/atom
data_Na2Ta2VS6
_symmetry_space_group_name_H-M 'C 1 2/m 1'
_symmetry_Int_Tables_number 12
_symmetry_space_group_name_Hall '-C 2y'
_cell_length_a 5.9877
_cell_length_b 10.4599
_cell_length_c 7.2208
_cell_angle_alpha 90.00
_cell_angle_beta 104.12
_cell_angle_gamma 90.00
loop_
_atom_site_label
_atom_site_type_symbol
_atom_site_fract_x
_atom_site_fract_y
_atom_site_fract_z
Na1 Na 0.0000 0.1755 0.0000
Ta1 Ta 0.0000 0.3594 0.5000
V1 V 0.0000 0.0000 0.5000
S1 S 0.2239 0.1690 0.6992
S2 S 0.2501 0.0000 0.2714

# Pm6AlAg PBE optimized geometry
# **Mass density**: 6.901 g/cm3
# **Formation energy from the elements**: -0.133 eV per atom
# **Magnetization**: 0.00 μB/atom
data_Pm6AlAg
_symmetry_space_group_name_H-M 'F m m m'
_symmetry_Int_Tables_number 69
_symmetry_space_group_name_Hall '-F 2 2'
_cell_length_a 7.3426
_cell_length_b 7.3571
_cell_length_c 17.9034
_cell_angle_alpha 90.00
_cell_angle_beta 90.00
_cell_angle_gamma 90.00
loop_
_atom_site_label
_atom_site_type_symbol
_atom_site_fract_x
_atom_site_fract_y
_atom_site_fract_z
Pm1 Pm 0.0000 0.0000 0.2473
Pm2 Pm 0.2500 0.2500 0.1066
Al1 Al 0.0000 0.0000 0.0000
Ag1 Ag 0.0000 0.0000 0.5000

# Li3Al4Pd2 PBE optimized geometry
# **Mass density**: 4.374 g/cm3
# **Formation energy from the elements**: -0.583 eV per atom
# **Magnetization**: 0.00 μB/atom
data_Li3Al4Pd2
_symmetry_space_group_name_H-M 'P -3 m 1'
_symmetry_Int_Tables_number 164
_symmetry_space_group_name_Hall '-P 3 2"'
_cell_length_a 4.3308
_cell_length_b 4.3308
_cell_length_c 7.9821
_cell_angle_alpha 90.00
_cell_angle_beta 90.00
_cell_angle_gamma 120.00
loop_
_atom_site_label
_atom_site_type_symbol
_atom_site_fract_x
_atom_site_fract_y
_atom_site_fract_z
Li1 Li 0.0000 0.0000 0.0000
Li2 Li 0.3333 0.6667 0.4560
Al1 Al 0.0000 0.0000 0.3241
Al2 Al 0.3333 0.6667 0.1210
Pd1 Pd 0.3333 0.6667 0.7893

# Pm7Tm16Th6 PBE optimized geometry
# **Mass density**: 8.905 g/cm3
# **Formation energy from the elements**: 0.327 eV per atom
# **Magnetization**: 0.00 μB/atom
data_Pm7Tm16Th6
_symmetry_space_group_name_H-M 'F m -3 m'
_symmetry_Int_Tables_number 225
_symmetry_space_group_name_Hall '-F 4 2 3'
_cell_length_a 15.6206
_cell_length_b 15.6206
_cell_length_c 15.6206
_cell_angle_alpha 90.00
_cell_angle_beta 90.00
_cell_angle_gamma 90.00
loop_
_atom_site_label
_atom_site_type_symbol
_atom_site_fract_x
_atom_site_fract_y
_atom_site_fract_z
Pm1 Pm 0.0000 0.0000 0.0000
Pm2 Pm 0.0000 0.2500 0.2500
Tm1 Tm 0.1217 0.1217 0.1217
Tm2 Tm 0.1586 0.1586 0.3414
Th1 Th 0.0000 0.0000 0.3303

# SrTc2C PBE optimized geometry
# **Mass density**: 5.681 g/cm3
# **Formation energy from the elements**: 0.644 eV per atom
# **Magnetization**: 0.51 μB/atom
data_SrTc2C
_symmetry_space_group_name_H-M 'I -4 2 d'
_symmetry_Int_Tables_number 122
_symmetry_space_group_name_Hall 'I -4 2bw'
_cell_length_a 6.2314
_cell_length_b 6.2314
_cell_length_c 8.9018
_cell_angle_alpha 90.00
_cell_angle_beta 90.00
_cell_angle_gamma 90.00
loop_
_atom_site_label
_atom_site_type_symbol
_atom_site_fract_x
_atom_site_fract_y
_atom_site_fract_z
Sr1 Sr 0.0000 0.0000 0.0000
Tc1 Tc 0.0178 0.7500 0.6250
C1 C 0.0000 0.0000 0.5000

# Ti6Ga5 PBE optimized geometry
# **Mass density**: 5.789 g/cm3
# **Formation energy from the elements**: -0.319 eV per atom
# **Magnetization**: 0.00 μB/atom
data_Ti6Ga5
_symmetry_space_group_name_H-M 'I m m m'
_symmetry_Int_Tables_number 71
_symmetry_space_group_name_Hall '-I 2 2'
_cell_length_a 4.0139
_cell_length_b 7.3847
_cell_length_c 12.3068
_cell_angle_alpha 90.00
_cell_angle_beta 90.00
_cell_angle_gamma 90.00
loop_
_atom_site_label
_atom_site_type_symbol
_atom_site_fract_x
_atom_site_fract_y
_atom_site_fract_z
Ti1 Ti 0.0000 0.2309 0.0000
Ti2 Ti 0.0000 0.2572 0.3355
Ga1 Ga 0.0000 0.0000 0.1697
Ga2 Ga 0.0000 0.0000 0.5000
Ga3 Ga 0.0000 0.5000 0.1624

# CeP2Pd2 PBE optimized geometry
# **Mass density**: 8.068 g/cm3
# **Formation energy from the elements**: -0.956 eV per atom
# **Magnetization**: 0.00 μB/atom
data_CeP2Pd2
_symmetry_space_group_name_H-M 'I 4/m m m'
_symmetry_Int_Tables_number 139
_symmetry_space_group_name_Hall '-I 4 2'
_cell_length_a 4.1062
_cell_length_b 4.1062
_cell_length_c 10.1292
_cell_angle_alpha 90.00
_cell_angle_beta 90.00
_cell_angle_gamma 90.00
loop_
_atom_site_label
_atom_site_type_symbol
_atom_site_fract_x
_atom_site_fract_y
_atom_site_fract_z
Ce1 Ce 0.0000 0.0000 0.0000
P1 P 0.0000 0.0000 0.3897
Pd1 Pd 0.0000 0.5000 0.2500